No. 1
Here is NaTaBiSb after structural relaxation from Alexandria. Energies are from PBE.

a = 3.6021 Å, b = 3.6021 Å, c = 27.7340 Å
α = 90.00°, β = 90.00°, γ = 120.00°
Positions (direct):
1 Bi 0.3333 0.6667 0.7949
2 Bi 0.0000 0.0000 0.1283
3 Bi 0.6667 0.3333 0.4616
4 Na 0.0000 0.0000 0.3628
5 Na 0.6667 0.3333 0.6962
6 Na 0.3333 0.6667 0.0295
7 Ta 0.3333 0.6667 0.5374
8 Ta 0.0000 0.0000 0.8707
9 Ta 0.6667 0.3333 0.2041
10 Sb 0.0000 0.0000 0.6059
11 Sb 0.3333 0.6667 0.2726
12 Sb 0.6667 0.3333 0.9392

## Properties
Relative energy among the computed polymorphs = 0.009 eV/atom
V = 311.6 Å³/cell
Raw formation energy = -0.01 eV/atom
ρ = 8.55 g/cm³
Space group = R3m (160)



No. 2
Here is LaPm6Sm2Tm after structural relaxation from Alexandria. Energies are from PBE.

a = 9.7783 Å, b = 8.9635 Å, c = 8.9635 Å
α = 117.70°, β = 93.76°, γ = 93.76°
Positions (direct):
1 Pm 0.4444 0.2503 0.8781
2 Pm 0.1865 0.5655 0.0130
3 Pm 0.8135 0.4345 0.9870
4 Pm 0.5556 0.7497 0.1219
5 Pm 0.9444 0.8781 0.2503
6 Pm 0.0556 0.1219 0.7497
7 Pm 0.3819 0.5076 0.2942
8 Pm 0.6865 0.0130 0.5655
9 Pm 0.8819 0.2942 0.5076
10 Pm 0.6181 0.4924 0.7058
11 Pm 0.3135 0.9870 0.4345
12 Pm 0.1181 0.7058 0.4924
13 Tm 0.7500 0.5904 0.4096
14 Tm 0.2500 0.4096 0.5904
15 Sm 0.9539 0.6985 0.8002
16 Sm 0.4539 0.8002 0.6985
17 Sm 0.0461 0.3015 0.1998
18 Sm 0.5461 0.1998 0.3015
19 La 0.2500 0.9770 0.0230
20 La 0.7500 0.0230 0.9770

## Properties
DFT formation energy = 0.11 eV per atom
V = 690.0 Å³/cell
ρ = 7.12 g/cm³
Space group = C2/c (15)



No. 3
Here is MgTl4 after structural relaxation from Alexandria. Energies are from PBE.

a = 9.0033 Å, b = 9.0033 Å, c = 9.0033 Å
α = 152.01°, β = 152.01°, γ = 40.00°
Positions (direct):
1 Tl 0.4063 0.4063 0.0000
2 Tl 0.5937 0.5937 0.0000
3 Tl 0.7500 0.2500 0.5000
4 Tl 0.2500 0.7500 0.5000
5 Mg 0.0000 0.0000 0.0000

## Properties
Relative energy among the computed polymorphs = 0.145 eV/atom
DFT formation energy = 0.17 eV per atom
V = 160.4 Å³/cell
ρ = 8.71 g/cm³
Space group = I4/mmm (139)



No. 4
Here is TeOs2S after structural relaxation from Alexandria. Energies are from PBE.

a = 4.5006 Å, b = 4.5006 Å, c = 4.5006 Å
α = 60.00°, β = 60.00°, γ = 60.00°
Positions (direct):
1 Os 0.2500 0.2500 0.2500
2 Os 0.7500 0.7500 0.7500
3 Te 0.5000 0.5000 0.5000
4 S 0.0000 0.0000 0.0000

## Properties
Relative energy among the computed polymorphs = 0.437 eV/atom
V = 64.5 Å³/cell
Raw formation energy = 0.93 eV/atom
ρ = 13.91 g/cm³
Space group = Fm-3m (225)



No. 5
Here is RbSn2Pb2 after structural relaxation from Alexandria. Energies are from PBE.

a = 5.3026 Å, b = 5.3026 Å, c = 7.5554 Å
α = 69.46°, β = 69.46°, γ = 90.00°
Positions (direct):
1 Pb 0.7500 0.2500 0.5000
2 Pb 0.2500 0.7500 0.5000
3 Rb 0.0000 0.0000 0.0000
4 Sn 0.6161 0.6161 0.7678
5 Sn 0.3839 0.3839 0.2322

## Properties
Relative energy among the computed polymorphs = 0.000 eV/atom
DFT formation energy = -0.12 eV per atom
V = 184.4 Å³/cell
ρ = 6.64 g/cm³
Space group = I4/mmm (139)



No. 6
Here is NdZrPa after structural relaxation from Alexandria. Energies are from PBE.

a = 4.9786 Å, b = 3.2532 Å, c = 10.1775 Å
α = 80.80°, β = 90.00°, γ = 90.00°
Positions (direct):
1 Zr 0.2500 0.2819 0.4362
2 Zr 0.7500 0.7181 0.5638
3 Nd 0.7500 0.5550 0.8900
4 Nd 0.2500 0.4450 0.1100
5 Pa 0.2500 0.1347 0.7305
6 Pa 0.7500 0.8653 0.2695

## Properties
Relative energy among the computed polymorphs = 0.044 eV/atom
DFT formation energy = 0.23 eV per atom
V = 162.7 Å³/cell
ρ = 9.52 g/cm³
Space group = Cmcm (63)



No. 7
Here is RbSr2ZnFe after structural relaxation from Alexandria. Energies are from PBE.

a = 7.1309 Å, b = 5.7256 Å, c = 7.1309 Å
α = 90.00°, β = 90.00°, γ = 90.00°
Site moments in Bohr magnetons follow the coordinates.
Positions (direct):
1 Sr 0.0000 0.0000 0.5000  -0.02
2 Sr 0.5000 0.0000 0.0000  -0.01
3 Fe 0.5000 0.5000 0.5000  -0.07
4 Zn 0.0000 0.5000 0.0000  -0.01
5 Rb 0.0000 0.0000 0.0000  -0.01

## Properties
DFT formation energy = 1.76 eV per atom
V = 291.2 Å³/cell
ρ = 2.18 g/cm³
Space group = P4/mmm (123)



No. 8
Here is KFe3 after structural relaxation from Alexandria. Energies are from PBE.

a = 7.4601 Å, b = 7.4601 Å, c = 4.0075 Å
α = 90.00°, β = 90.00°, γ = 120.00°
Site moments in Bohr magnetons follow the coordinates.
Positions (direct):
1 Fe 0.7863 0.8931 0.7500  2.51
2 Fe 0.1069 0.2137 0.7500  2.51
3 Fe 0.8931 0.1069 0.2500  2.51
4 Fe 0.1069 0.8931 0.7500  2.51
5 Fe 0.2137 0.1069 0.2500  2.51
6 Fe 0.8931 0.7863 0.2500  2.51
7 K 0.3333 0.6667 0.2500  0.00
8 K 0.6667 0.3333 0.7500  0.00

## Properties
DFT formation energy = 0.79 eV per atom
V = 193.1 Å³/cell
ρ = 3.55 g/cm³
Space group = P6_3/mmc (194)



No. 9
Here is NaCaMg2Rh after structural relaxation from Alexandria. Energies are from PBE.

a = 5.1316 Å, b = 5.1316 Å, c = 5.3504 Å
α = 90.00°, β = 90.00°, γ = 90.00°
Positions (direct):
1 Mg 0.5000 0.0000 0.0000
2 Mg 0.0000 0.5000 0.0000
3 Na 0.5000 0.5000 0.5000
4 Ca 0.0000 0.0000 0.5000
5 Rh 0.0000 0.0000 0.0000

## Properties
DFT formation energy = -0.16 eV per atom
V = 140.9 Å³/cell
ρ = 2.53 g/cm³
Space group = P4/mmm (123)



No. 10
Here is DyEr4Tl2 after structural relaxation from Alexandria. Energies are from PBE.

a = 10.5795 Å, b = 6.8060 Å, c = 6.8239 Å
α = 119.80°, β = 90.00°, γ = 90.00°
Positions (direct):
1 Tl 0.4835 0.7614 0.5224
2 Tl 0.5165 0.2386 0.4776
3 Tl 0.9835 0.7386 0.4776
4 Tl 0.0165 0.2614 0.5224
5 Er 0.7497 0.4430 0.3851
6 Er 0.8294 0.4545 0.9075
7 Er 0.2497 0.0570 0.6149
8 Er 0.2503 0.5570 0.6149
9 Er 0.1706 0.5455 0.0925
10 Er 0.3294 0.0455 0.0925
11 Er 0.6706 0.9545 0.9075
12 Er 0.7503 0.9430 0.3851
13 Dy 0.0000 0.0000 0.0000
14 Dy 0.5000 0.5000 0.0000

## Properties
Relative energy among the computed polymorphs = 0.000 eV/atom
DFT formation energy = -0.07 eV per atom
V = 426.4 Å³/cell
ρ = 9.66 g/cm³
Space group = P2_1/c (14)



No. 11
Here is Ni2HRuPb after structural relaxation from Alexandria. Energies are from PBE.

a = 3.9296 Å, b = 3.9296 Å, c = 3.9164 Å
α = 90.00°, β = 90.00°, γ = 90.00°
Positions (direct):
1 Ru 0.0000 0.0000 0.5000
2 Pb 0.5000 0.5000 0.5000
3 Ni 0.0000 0.5000 0.0000
4 Ni 0.5000 0.0000 0.0000
5 H 0.0000 0.0000 0.0000

## Properties
V = 60.5 Å³/cell
VASP energy = -27.160 eV per formula unit
ρ = 11.72 g/cm³
Space group = P4/mmm (123)



No. 12
Here is Hg2H4NCl5 after structural relaxation from Alexandria. Energies are from PBE.

a = 7.1002 Å, b = 6.3987 Å, c = 7.2041 Å
α = 90.00°, β = 90.00°, γ = 123.70°
Positions (direct):
1 N 0.5316 0.0000 0.0000
2 H 0.5292 0.1595 0.0000
3 H 0.3697 0.8405 0.0000
4 H 0.6174 0.0000 0.8838
5 H 0.6174 0.0000 0.1162
6 Cl 0.0097 0.3855 0.2508
7 Cl 0.0097 0.3855 0.7492
8 Cl 0.6242 0.6145 0.7492
9 Cl 0.3030 0.0000 0.5000
10 Cl 0.6242 0.6145 0.2508
11 Hg 0.2832 0.3970 0.5000
12 Hg 0.8863 0.6030 0.5000

## Properties
V = 272.3 Å³/cell
VASP energy = -38.544 eV per formula unit
ρ = 3.64 g/cm³
Space group = Amm2 (38)



No. 13
Here is Sr3TaAs after structural relaxation from Alexandria. Energies are from PBE.

a = 5.9109 Å, b = 5.9109 Å, c = 5.9109 Å
α = 90.00°, β = 90.00°, γ = 90.00°
Site moments in Bohr magnetons follow the coordinates.
Positions (direct):
1 Ta 0.5000 0.5000 0.5000  2.33
2 Sr 0.5000 0.0000 0.0000  0.08
3 Sr 0.0000 0.5000 0.0000  0.09
4 Sr 0.0000 0.0000 0.5000  0.09
5 As 0.0000 0.0000 0.0000  0.07

## Properties
Relative energy among the computed polymorphs = 0.000 eV/atom
DFT formation energy = 0.46 eV per atom
V = 206.5 Å³/cell
ρ = 4.17 g/cm³
Space group = Pm-3m (221)



No. 14
Here is CaLa2Tc2N6 after structural relaxation from Alexandria. Energies are from PBE.

a = 5.7689 Å, b = 5.7689 Å, c = 7.0289 Å
α = 65.77°, β = 65.77°, γ = 60.00°
Positions (direct):
1 N 0.7377 0.7377 0.2966
2 N 0.2623 0.7721 0.7034
3 N 0.2623 0.2623 0.7034
4 N 0.7721 0.2623 0.7034
5 N 0.7377 0.2279 0.2966
6 N 0.2279 0.7377 0.2966
7 La 0.2081 0.2081 0.3758
8 La 0.7919 0.7919 0.6242
9 Tc 0.4029 0.4029 0.7913
10 Tc 0.5971 0.5971 0.2087
11 Ca 0.0000 0.0000 0.0000

## Properties
V = 178.4 Å³/cell
Raw formation energy = -0.62 eV/atom
ρ = 5.57 g/cm³
Space group = R-3m (166)



No. 15
Here is Rb2Y2SnSe6 after structural relaxation from Alexandria. Energies are from PBE.

a = 7.1376 Å, b = 7.1376 Å, c = 8.6058 Å
α = 98.15°, β = 98.15°, γ = 119.86°
Positions (direct):
1 Sn 0.0000 0.0000 0.5000
2 Y 0.3317 0.6683 0.5000
3 Y 0.6683 0.3317 0.5000
4 Rb 0.1697 0.8303 0.0000
5 Rb 0.8303 0.1697 0.0000
6 Se 0.0673 0.3874 0.6915
7 Se 0.6126 0.9326 0.3085
8 Se 0.3874 0.0673 0.6915
9 Se 0.7474 0.7474 0.6880
10 Se 0.9326 0.6126 0.3085
11 Se 0.2526 0.2526 0.3120

## Properties
V = 364.7 Å³/cell
Raw formation energy = -1.35 eV/atom
ρ = 4.29 g/cm³
Space group = C2/m (12)



No. 16
Here is RbTiTe2 after structural relaxation from Alexandria. Energies are from PBE.

a = 8.1226 Å, b = 8.1226 Å, c = 7.6677 Å
α = 58.02°, β = 58.02°, γ = 90.00°
Site moments in Bohr magnetons follow the coordinates.
Positions (direct):
1 Rb 0.7500 0.2500 0.5000  0.00
2 Rb 0.0000 0.0000 0.0000  0.00
3 Te 0.3750 0.4764 0.7500  -0.06
4 Te 0.5236 0.1250 0.2500  -0.06
5 Te 0.8750 0.7736 0.7500  -0.06
6 Te 0.2264 0.6250 0.2500  -0.06
7 Ti 0.5000 0.5000 0.0000  0.97
8 Ti 0.2500 0.7500 0.5000  0.97

## Properties
V = 335.2 Å³/cell
Raw formation energy = -0.70 eV/atom
ρ = 3.85 g/cm³
Space group = I-42d (122)



No. 17
Here is NdMgGePt after structural relaxation from Alexandria. Energies are from PBE.

a = 4.9157 Å, b = 4.9157 Å, c = 4.9157 Å
α = 60.00°, β = 60.00°, γ = 60.00°
Positions (direct):
1 Pt 0.7500 0.7500 0.7500
2 Ge 0.2500 0.2500 0.2500
3 Nd 0.0000 0.0000 0.0000
4 Mg 0.5000 0.5000 0.5000

## Properties
DFT formation energy = -0.68 eV per atom
V = 84.0 Å³/cell
ρ = 8.62 g/cm³
Space group = F-43m (216)



No. 18
Here is TlAgTe2 after structural relaxation from Alexandria. Energies are from PBE.

a = 6.2352 Å, b = 6.2352 Å, c = 6.2352 Å
α = 136.44°, β = 136.44°, γ = 63.29°
Positions (direct):
1 Ag 0.7500 0.2500 0.5000
2 Te 0.0000 0.0000 0.0000
3 Te 0.5000 0.5000 0.0000
4 Tl 0.2500 0.7500 0.5000

## Properties
V = 113.6 Å³/cell
Raw formation energy = 0.15 eV/atom
ρ = 8.29 g/cm³
Space group = I4/mmm (139)



No. 19
Here is TlTeSN2 after structural relaxation from Alexandria. Energies are from PBE.

a = 4.0715 Å, b = 4.0715 Å, c = 5.4889 Å
α = 90.00°, β = 90.00°, γ = 90.00°
Site moments in Bohr magnetons follow the coordinates.
Positions (direct):
1 N 0.0000 0.5000 0.0000  0.09
2 N 0.5000 0.0000 0.0000  0.09
3 S 0.0000 0.0000 0.5000  0.01
4 Te 0.0000 0.0000 0.0000  -0.01
5 Tl 0.5000 0.5000 0.5000  0.00

## Properties
Relative energy among the computed polymorphs = 0.000 eV/atom
V = 91.0 Å³/cell
Raw formation energy = 1.15 eV/atom
ρ = 7.16 g/cm³
Space group = P4/mmm (123)



No. 20
Here is TcAsRh2Br after structural relaxation from Alexandria. Energies are from PBE.

a = 4.5487 Å, b = 5.1163 Å, c = 4.5487 Å
α = 90.00°, β = 90.00°, γ = 90.00°
Site moments in Bohr magnetons follow the coordinates.
Positions (direct):
1 Rh 0.0000 0.0000 0.5000  0.18
2 Rh 0.5000 0.0000 0.0000  0.18
3 Br 0.0000 0.0000 0.0000  -0.01
4 As 0.0000 0.5000 0.0000  -0.12
5 Tc 0.5000 0.5000 0.5000  3.32

## Properties
V = 105.9 Å³/cell
Raw formation energy = 1.55 eV/atom
ρ = 7.19 g/cm³
Space group = P4/mmm (123)